w:
The following is a DFT calculation (PBE-GGA) of a relaxed LaNd12Er7 crystal.

Calculated values
* magnetization: 0.001 μB/f.u.

Lattice parameters (Å, degrees): 11.552 11.552 11.552 90.00 90.00 90.00
Space group Im-3 (No. 204)
One atom of each set of equivalent atoms:
La 0.000 0.000 0.000
Nd 0.000 0.231 0.285
Er 0.000 0.000 0.500
Er 0.250 0.250 0.250

x:
The following is a DFT calculation (PBE-GGA) of a relaxed LaNd12Er7 crystal.

Calculated values
* magnetization: 0.000 μB/f.u.

Lattice parameters (Å, degrees): 15.2829 15.2829 10.1507 90.00 90.00 120.00
Space group R-3 (No. 148, hexagonal axes)
One atom of each set of equivalent atoms:
La 0.0000 0.0000 0.0000
Nd 0.0439 0.2002 0.2527
Nd 0.0463 0.2483 0.5779
Er 0.0000 0.0000 0.5000
Er 0.0663 0.2463 0.9256

Here are the energies relative to the best structure, in meV/atom: w 516; x 0.

w:
The following is a DFT calculation (PBE-GGA) of a relaxed LaNd6Er3 crystal.

Calculated values
* magnetization: 0.001 μB/f.u.

Lattice parameters (Å, degrees): 9.9819 9.9819 12.0757 90.00 90.00 120.00
Space group R32 (No. 155, hexagonal axes)
One atom of each set of equivalent atoms:
La 0.0000 0.0000 0.0000
Nd 0.0000 0.3306 0.0000
Nd 0.0000 0.6731 0.5000
Er 0.0000 0.0000 0.2543
Er 0.0000 0.0000 0.5000

x:
The following is a DFT calculation (PBE-GGA) of a relaxed LaNd6Er3 crystal.

Calculated values
* magnetization: 0.000 μB/f.u.

Lattice parameters (Å, degrees): 11.059 19.309 6.364 90.00 90.00 90.00
Space group Cmc2_1 (No. 36)
One atom of each set of equivalent atoms:
La 0.000 0.189 0.000
Nd 0.000 0.036 0.774
Nd 0.000 0.283 0.551
Nd 0.167 0.460 0.453
Nd 0.235 0.291 0.276
Er 0.000 0.383 0.996
Er 0.175 0.115 0.368

Here are the energies relative to the best structure, in meV/atom: w 88; x 0.

w:
The following is a DFT calculation (PBE-GGA) of a relaxed La2NdEr9 crystal.

Calculated values
* magnetization: 0.008 μB/f.u.

Lattice parameters (Å, degrees): 11.3113 11.3113 3.4981 90.00 90.00 120.00
Space group P6/mmm (No. 191)
One atom of each set of equivalent atoms:
La 0.3333 0.6667 0.0000
Nd 0.0000 0.0000 0.0000
Er 0.0000 0.5000 0.0000
Er 0.1738 0.3477 0.5000

x:
The following is a DFT calculation (PBE-GGA) of a relaxed La2NdEr9 crystal.

Calculated values
* magnetization: 0.000 μB/f.u.

Lattice parameters (Å, degrees): 5.041 5.041 15.135 90.00 90.00 90.00
Space group P4/mmm (No. 123)
One atom of each set of equivalent atoms:
La 0.000 0.000 0.166
Nd 0.000 0.000 0.500
Er 0.000 0.500 0.000
Er 0.000 0.500 0.335
Er 0.500 0.500 0.168
Er 0.500 0.500 0.500

Here are the energies relative to the best structure, in meV/atom: w 54; x 0.

w:
The following is a DFT calculation (PBE-GGA) of a relaxed LaNd7Er2 crystal.

Calculated values
* magnetization: 0.000 μB/f.u.

Lattice parameters (Å, degrees): 6.607 6.735 8.633 73.08 71.67 83.58
Space group P-1 (No. 2)
One atom of each set of equivalent atoms:
La 0.000 0.000 0.000
Nd 0.000 0.000 0.500
Nd 0.205 0.595 0.768
Nd 0.227 0.542 0.342
Nd 0.422 0.236 0.062
Er 0.423 0.144 0.636

x:
The following is a DFT calculation (PBE-GGA) of a relaxed LaNd7Er2 crystal.

Calculated values
* magnetization: 0.001 μB/f.u.

Lattice parameters (Å, degrees): 9.005 16.152 5.812 90.00 90.00 90.00
Space group Cmmm (No. 65)
One atom of each set of equivalent atoms:
La 0.000 0.000 0.000
Nd 0.000 0.231 0.000
Nd 0.000 0.500 0.500
Nd 0.180 0.118 0.500
Er 0.000 0.297 0.500

Here are the energies relative to the best structure, in meV/atom: w 0; x 555.

w:
The following is a DFT calculation (PBE-GGA) of a relaxed La6Nd12Er crystal.

Calculated values
* magnetization: 0.028 μB/f.u.

Lattice parameters (Å, degrees): 16.7225 16.7225 8.6096 90.00 90.00 120.00
Space group R-3m (No. 166, hexagonal axes)
One atom of each set of equivalent atoms:
La 0.0848 0.1696 0.1491
Nd 0.0000 0.3783 0.0000
Nd 0.0929 0.5464 0.3151
Er 0.0000 0.0000 0.5000

x:
The following is a DFT calculation (PBE-GGA) of a relaxed La6Nd12Er crystal.

Calculated values
* magnetization: 0.002 μB/f.u.

Lattice parameters (Å, degrees): 12.4241 12.4241 15.3307 90.00 90.00 120.00
Space group R-3 (No. 148, hexagonal axes)
One atom of each set of equivalent atoms:
La 0.0137 0.4212 0.1867
Nd 0.0048 0.1725 0.3107
Nd 0.0509 0.8535 0.9166
Er 0.0000 0.0000 0.5000

Here are the energies relative to the best structure, in meV/atom: w 160; x 0.

w:
The following is a DFT calculation (PBE-GGA) of a relaxed La4Nd2Er3 crystal.

Calculated values
* magnetization: 0.000 μB/f.u.

Lattice parameters (Å, degrees): 3.6395 3.6395 27.3984 90.00 90.00 120.00
Space group P3m1 (No. 156)
One atom of each set of equivalent atoms:
La 0.0000 0.0000 0.0000
La 0.0000 0.0000 0.2112
La 0.3333 0.6667 0.3302
La 0.3333 0.6667 0.5429
Nd 0.0000 0.0000 0.6592
Nd 0.0000 0.0000 0.8669
Er 0.0000 0.0000 0.4362
Er 0.3333 0.6667 0.1047
Er 0.3333 0.6667 0.7641

x:
The following is a DFT calculation (PBE-GGA) of a relaxed La4Nd2Er3 crystal.

Calculated values
* magnetization: 0.000 μB/f.u.

Lattice parameters (Å, degrees): 6.465 12.308 15.772 90.00 90.00 90.00
Space group Fmmm (No. 69)
One atom of each set of equivalent atoms:
La 0.000 0.143 0.190
Nd 0.000 0.000 0.391
Er 0.000 0.000 0.000
Er 0.250 0.250 0.000

Here are the energies relative to the best structure, in meV/atom: w 0; x 88.